# 1
{
  "formula": "ErFeRu",
  "functional": "PBE-GGA",
  "state": "relaxed",
  "sg": "Fmmm, No. 69",
  "magnetic_moment_mub_per_cell": 3.44,
  "ef_ev_per_atom": 0.160,
  "dos_ef_per_ev_cell": 6.228,
  "lattice_angstrom": [[0.0000, 4.5059, 4.5184], [2.4169, 0.0000, 4.5184], [2.4169, 4.5059, 0.0000]],
  "species": ["Er", "Er", "Fe", "Fe", "Ru", "Ru"],
  "fractional_positions": [[0.1544, 0.1544, 0.8456], [0.8456, 0.8456, 0.1544], [0.2500, 0.2500, 0.2500], [0.7500, 0.7500, 0.7500], [0.3306, 0.6694, 0.3306], [0.6694, 0.3306, 0.6694]]
}

***

# 2
{
  "formula": "Rb2Np2TiS6",
  "functional": "PBE-GGA",
  "state": "relaxed",
  "sg": "C2/m, No. 12",
  "magnetic_moment_mub_per_cell": 8.00,
  "e_form_raw_ev_per_atom": -1.3719,
  "dos_ef_per_ev_cell": 21.303,
  "lattice_angstrom": [[3.3702, -5.7817, 0.0000], [3.3702, 5.7817, 0.0000], [-2.2581, 0.0000, 7.8802]],
  "species": ["Rb", "Rb", "Np", "Np", "Ti", "S", "S", "S", "S", "S", "S"],
  "fractional_positions": [[0.1689, 0.8311, 0.0000], [0.8311, 0.1689, 0.0000], [0.3336, 0.6664, 0.5000], [0.6664, 0.3336, 0.5000], [0.0000, 0.0000, 0.5000], [0.0622, 0.3753, 0.6826], [0.2492, 0.2492, 0.3182], [0.3753, 0.0622, 0.6826], [0.6247, 0.9378, 0.3174], [0.7508, 0.7508, 0.6818], [0.9378, 0.6247, 0.3174]]
}

***

# 3
{
  "formula": "VZnRh4",
  "functional": "PBE-GGA",
  "state": "relaxed",
  "sg": "C2/m, No. 12",
  "magnetic_moment_mub_per_cell": 0.00,
  "ef_ev_per_atom": 0.041,
  "dos_ef_per_ev_cell": 7.059,
  "lattice_angstrom": [[2.8529, -2.8526, 0.0000], [2.8529, 2.8526, 0.0000], [-0.0271, 0.0000, 5.8810]],
  "species": ["V", "Zn", "Rh", "Rh", "Rh", "Rh"],
  "fractional_positions": [[0.0000, 0.0000, 0.0000], [0.5000, 0.5000, 0.5000], [0.0009, 0.4997, 0.7602], [0.4997, 0.0009, 0.7602], [0.5003, 0.9991, 0.2398], [0.9991, 0.5003, 0.2398]]
}

***

# 4
{
  "formula": "SrTcTe2I",
  "functional": "PBE-GGA",
  "state": "relaxed",
  "sg": "P4/mmm, No. 123",
  "magnetic_moment_mub_per_cell": 4.53,
  "e_form_raw_ev_per_atom": 0.7614,
  "e_above_lowest_polymorph_kj_per_mol_atoms": 100.11,
  "dos_ef_per_ev_cell": 6.125,
  "lattice_angstrom": [[6.1821, 0.0000, 0.0000], [0.0000, 6.1821, 0.0000], [0.0000, 0.0000, 6.0832]],
  "species": ["Sr", "Tc", "Te", "Te", "I"],
  "fractional_positions": [[0.0000, 0.0000, 0.0000], [0.5000, 0.5000, 0.5000], [0.0000, 0.5000, 0.0000], [0.5000, 0.0000, 0.0000], [0.0000, 0.0000, 0.5000]]
}

***

# 5
{
  "formula": "ScCrP2",
  "functional": "PBE-GGA",
  "state": "relaxed",
  "sg": "R3m, No. 160",
  "magnetic_moment_mub_per_cell": 0.55,
  "ef_ev_per_atom": 0.019,
  "e_above_lowest_polymorph_kj_per_mol_atoms": 85.13,
  "dos_ef_per_ev_cell": 2.599,
  "lattice_angstrom": [[1.5231, 0.8794, 7.6473], [-1.5231, 0.8794, 7.6473], [0.0000, -1.7588, 7.6473]],
  "species": ["Sc", "Cr", "P", "P"],
  "fractional_positions": [[0.0000, 0.0000, 0.0000], [0.7614, 0.7614, 0.7614], [0.2408, 0.2408, 0.2408], [0.4933, 0.4933, 0.4933]]
}

***

# 6
{
  "formula": "Pr3Y5Er4",
  "functional": "PBE-GGA",
  "state": "relaxed",
  "sg": "P-1, No. 2",
  "magnetic_moment_mub_per_cell": 0.00,
  "ef_ev_per_atom": 0.021,
  "e_above_lowest_polymorph_kj_per_mol_atoms": 0.00,
  "dos_ef_per_ev_cell": 16.358,
  "lattice_angstrom": [[6.2073, 0.0000, 0.0000], [-0.0273, 7.1681, 0.0000], [-0.0199, -0.0032, 8.7817]],
  "species": ["Pr", "Pr", "Pr", "Y", "Y", "Y", "Y", "Y", "Er", "Er", "Er", "Er"],
  "fractional_positions": [[0.0000, 0.0000, 0.0000], [0.1653, 0.7475, 0.6656], [0.8347, 0.2525, 0.3344], [0.0000, 0.5000, 0.0000], [0.3340, 0.0002, 0.3340], [0.4985, 0.2519, 0.9997], [0.5015, 0.7481, 0.0003], [0.6660, 0.9998, 0.6660], [0.1684, 0.2521, 0.6665], [0.3348, 0.5006, 0.3345], [0.6652, 0.4994, 0.6655], [0.8316, 0.7479, 0.3335]]
}